1.
VASP calculation (PBE) on crystalline RbLiPtCl6 at its relaxed geometry.

Structure (POSCAR):
```
RbLiPtCl6
1.0
6.474 0.000 0.000
-3.237 5.607 0.000
0.000 0.000 7.361
Rb Li Pt Cl
1 1 1 6
direct
0.000 0.000 0.000 Rb
0.667 0.333 0.500 Li
0.333 0.667 0.500 Pt
0.027 0.379 0.684 Cl
0.027 0.648 0.316 Cl
0.352 0.379 0.316 Cl
0.352 0.973 0.684 Cl
0.621 0.648 0.684 Cl
0.621 0.973 0.316 Cl
```



2.
VASP calculation (PBE) on crystalline RbLiPt2Cl at its relaxed geometry.

Structure (POSCAR):
```
RbLiPt2Cl
1.0
4.777 0.000 0.000
0.000 4.777 0.000
0.000 0.000 5.636
Rb Li Pt Cl
1 1 2 1
direct
0.000 0.000 0.000 Rb
0.500 0.500 0.000 Li
0.000 0.500 0.500 Pt
0.500 0.000 0.500 Pt
0.000 0.000 0.500 Cl
```



3.
VASP calculation (PBE) on crystalline LiTi2PtCl at its relaxed geometry.

Structure (POSCAR):
```
LiTi2PtCl
1.0
4.471 0.000 0.000
0.000 4.471 0.000
0.000 0.000 4.049
Li Ti Pt Cl
1 2 1 1
direct
0.000 0.000 0.000 Li
0.000 0.500 0.500 Ti
0.500 0.000 0.500 Ti
0.500 0.500 0.000 Pt
0.000 0.000 0.500 Cl
```



4.
VASP calculation (PBE) on crystalline LiPtWCl2 at its relaxed geometry.

Structure (POSCAR):
```
LiPtWCl2
1.0
4.734 0.000 0.000
0.000 4.734 0.000
0.000 0.000 5.066
Li Pt W Cl
1 1 1 2
direct
0.000 0.000 0.000 Li
0.500 0.500 0.000 Pt
0.500 0.500 0.500 W
0.000 0.500 0.500 Cl
0.500 0.000 0.500 Cl
```



5.
VASP calculation (PBE) on crystalline Li3PuCl7 at its relaxed geometry.

Structure (POSCAR):
```
Li3PuCl7
1.0
6.409 -3.728 0.000
6.409 3.728 0.000
-5.491 0.000 6.527
Li Pu Cl
3 1 7
direct
0.000 0.000 0.000 Li
0.203 0.668 0.310 Li
0.668 0.203 0.310 Li
0.504 0.504 0.899 Pu
0.014 0.014 0.290 Cl
0.076 0.588 0.760 Cl
0.422 0.945 0.064 Cl
0.474 0.474 0.561 Cl
0.530 0.530 0.231 Cl
0.588 0.076 0.760 Cl
0.945 0.422 0.064 Cl
```



6.
VASP calculation (PBE) on crystalline Li2Pu5Cl12 at its relaxed geometry.

Structure (POSCAR):
```
Li2Pu5Cl12
1.0
7.811 -3.686 0.000
7.811 3.686 0.000
-2.685 0.000 8.553
Li Pu Cl
2 5 12
direct
0.235 0.765 0.000 Li
0.765 0.235 0.000 Li
0.000 0.000 0.500 Pu
0.298 0.298 0.643 Pu
0.316 0.316 0.157 Pu
0.684 0.684 0.843 Pu
0.702 0.702 0.357 Pu
0.007 0.007 0.809 Cl
0.088 0.571 0.906 Cl
0.109 0.599 0.433 Cl
0.401 0.891 0.567 Cl
0.429 0.912 0.094 Cl
0.495 0.495 0.792 Cl
0.505 0.505 0.208 Cl
0.571 0.088 0.906 Cl
0.599 0.109 0.433 Cl
0.891 0.401 0.567 Cl
0.912 0.429 0.094 Cl
0.993 0.993 0.191 Cl
```



7.
VASP calculation (PBE) on crystalline Li3PuCl6 at its relaxed geometry.

Structure (POSCAR):
```
Li3PuCl6
1.0
4.231 -6.474 0.000
4.231 6.474 0.000
0.000 0.000 4.338
Li Pu Cl
3 1 6
direct
0.000 0.000 0.000 Li
0.000 0.500 0.500 Li
0.500 0.000 0.500 Li
0.500 0.500 0.000 Pu
0.086 0.335 0.000 Cl
0.335 0.086 0.000 Cl
0.360 0.640 0.500 Cl
0.640 0.360 0.500 Cl
0.665 0.914 0.000 Cl
0.914 0.665 0.000 Cl
```



8.
VASP calculation (PBE) on crystalline Li2Pu2Cl7 at its relaxed geometry.

Structure (POSCAR):
```
Li2Pu2Cl7
1.0
5.184 -4.512 0.000
5.184 4.512 0.000
-1.876 0.000 6.629
Li Pu Cl
2 2 7
direct
0.180 0.820 0.000 Li
0.820 0.180 0.000 Li
0.230 0.230 0.502 Pu
0.770 0.770 0.498 Pu
0.044 0.044 0.760 Cl
0.049 0.548 0.764 Cl
0.452 0.951 0.236 Cl
0.500 0.500 0.500 Cl
0.548 0.049 0.764 Cl
0.951 0.452 0.236 Cl
0.956 0.956 0.240 Cl
```



9.
VASP calculation (PBE) on crystalline LiPuCl6 at its relaxed geometry.

Structure (POSCAR):
```
LiPuCl6
1.0
3.489 -6.024 0.000
3.489 6.024 0.000
-0.054 0.000 6.539
Li Pu Cl
1 1 6
direct
0.000 0.000 0.000 Li
0.000 0.000 0.500 Pu
0.001 0.716 0.260 Cl
0.284 0.284 0.263 Cl
0.284 0.999 0.740 Cl
0.716 0.001 0.260 Cl
0.716 0.716 0.737 Cl
0.999 0.284 0.740 Cl
```



10.
VASP calculation (PBE) on crystalline LiPu2Cl6 at its relaxed geometry.

Structure (POSCAR):
```
LiPu2Cl6
1.0
6.766 -1.906 0.000
6.766 1.906 0.000
-4.974 0.000 10.102
Li Pu Cl
1 2 6
direct
0.000 0.000 0.000 Li
0.314 0.314 0.697 Pu
0.686 0.686 0.303 Pu
0.013 0.013 0.228 Cl
0.199 0.199 0.121 Cl
0.345 0.345 0.461 Cl
0.655 0.655 0.539 Cl
0.801 0.801 0.879 Cl
0.987 0.987 0.772 Cl
```



11.
VASP calculation (PBE) on crystalline Li2PuCl4 at its relaxed geometry.

Structure (POSCAR):
```
Li2PuCl4
1.0
-3.713 3.976 5.683
3.713 -3.976 5.683
3.713 3.976 -5.683
Li Pu Cl
4 2 8
direct
0.000 0.000 0.000 Li
0.373 0.623 0.750 Li
0.500 0.000 0.500 Li
0.627 0.377 0.250 Li
0.000 0.000 0.500 Pu
0.000 0.500 0.000 Pu
0.247 0.235 0.487 Cl
0.247 0.760 0.013 Cl
0.254 0.234 0.020 Cl
0.287 0.766 0.520 Cl
0.713 0.234 0.480 Cl
0.746 0.766 0.980 Cl
0.753 0.240 0.987 Cl
0.753 0.765 0.513 Cl
```



12.
VASP calculation (PBE) on crystalline Li2PuCl8 at its relaxed geometry.

Structure (POSCAR):
```
Li2PuCl8
1.0
5.509 -5.719 0.000
5.509 5.719 0.000
-2.727 0.000 6.036
Li Pu Cl
2 1 8
direct
0.193 0.193 0.191 Li
0.807 0.807 0.809 Li
0.000 0.000 0.500 Pu
0.054 0.747 0.678 Cl
0.225 0.225 0.861 Cl
0.253 0.946 0.322 Cl
0.449 0.449 0.333 Cl
0.551 0.551 0.667 Cl
0.747 0.054 0.678 Cl
0.775 0.775 0.139 Cl
0.946 0.253 0.322 Cl
```



13.
VASP calculation (PBE) on crystalline LiPu2Cl6 at its relaxed geometry.

Structure (POSCAR):
```
LiPu2Cl6
1.0
6.666 0.000 0.000
0.000 7.050 0.000
-5.216 0.000 9.794
Li Pu Cl
2 4 12
direct
0.000 0.000 0.000 Li
0.000 0.500 0.500 Li
0.327 0.112 0.779 Pu
0.327 0.388 0.279 Pu
0.673 0.612 0.721 Pu
0.673 0.888 0.221 Pu
0.063 0.060 0.233 Cl
0.063 0.440 0.733 Cl
0.269 0.677 0.091 Cl
0.269 0.823 0.591 Cl
0.363 0.177 0.056 Cl
0.363 0.323 0.556 Cl
0.637 0.677 0.444 Cl
0.637 0.823 0.944 Cl
0.731 0.177 0.409 Cl
0.731 0.323 0.909 Cl
0.937 0.560 0.267 Cl
0.937 0.940 0.767 Cl
```



14.
VASP calculation (PBE) on crystalline LiPu3Cl6 at its relaxed geometry.

Structure (POSCAR):
```
LiPu3Cl6
1.0
4.914 2.837 5.556
-4.914 2.837 5.556
0.000 -5.674 5.556
Li Pu Cl
2 6 12
direct
0.000 0.000 0.000 Li
0.500 0.500 0.500 Li
0.090 0.271 0.364 Pu
0.271 0.364 0.090 Pu
0.364 0.090 0.271 Pu
0.636 0.910 0.729 Pu
0.729 0.636 0.910 Pu
0.910 0.729 0.636 Pu
0.056 0.913 0.316 Cl
0.087 0.684 0.944 Cl
0.183 0.452 0.589 Cl
0.316 0.056 0.913 Cl
0.411 0.817 0.548 Cl
0.452 0.589 0.183 Cl
0.548 0.411 0.817 Cl
0.589 0.183 0.452 Cl
0.684 0.944 0.087 Cl
0.817 0.548 0.411 Cl
0.913 0.316 0.056 Cl
0.944 0.087 0.684 Cl
```



15.
VASP calculation (PBE) on crystalline Li2PuCl4 at its relaxed geometry.

Structure (POSCAR):
```
Li2PuCl4
1.0
6.846 -2.053 0.000
6.846 2.053 0.000
-1.651 0.000 6.668
Li Pu Cl
2 1 4
direct
0.174 0.174 0.077 Li
0.826 0.826 0.923 Li
0.500 0.500 0.500 Pu
0.110 0.110 0.365 Cl
0.356 0.356 0.112 Cl
0.644 0.644 0.888 Cl
0.890 0.890 0.635 Cl
```



16.
VASP calculation (PBE) on crystalline LiPu5Cl12 at its relaxed geometry.

Structure (POSCAR):
```
LiPu5Cl12
1.0
7.194 0.000 0.000
3.596 6.256 0.000
0.563 -0.005 12.875
Li Pu Cl
1 5 12
direct
0.000 0.000 0.000 Li
0.165 0.669 0.500 Pu
0.333 0.333 0.000 Pu
0.498 0.003 0.500 Pu
0.667 0.667 0.000 Pu
0.832 0.335 0.499 Pu
0.008 0.322 0.891 Cl
0.155 0.003 0.616 Cl
0.176 0.335 0.383 Cl
0.312 0.000 0.108 Cl
0.329 0.678 0.891 Cl
0.490 0.335 0.616 Cl
0.509 0.669 0.383 Cl
0.670 0.322 0.109 Cl
0.688 0.000 0.892 Cl
0.821 0.668 0.616 Cl
0.841 0.002 0.383 Cl
0.992 0.679 0.109 Cl
```



17.
VASP calculation (PBE) on crystalline LiPu2Cl11 at its relaxed geometry.

Structure (POSCAR):
```
LiPu2Cl11
1.0
-5.112 7.575 6.831
5.112 -7.575 6.831
5.112 7.575 -6.831
Li Pu Cl
2 4 22
direct
0.250 0.250 0.000 Li
0.750 0.750 0.000 Li
0.080 0.733 0.814 Pu
0.420 0.233 0.653 Pu
0.580 0.767 0.347 Pu
0.920 0.267 0.186 Pu
0.000 0.500 0.500 Cl
0.048 0.520 0.830 Cl
0.102 0.948 0.792 Cl
0.156 0.310 0.208 Cl
0.161 0.943 0.104 Cl
0.190 0.020 0.472 Cl
0.310 0.782 0.830 Cl
0.339 0.443 0.782 Cl
0.344 0.552 0.154 Cl
0.398 0.190 0.846 Cl
0.452 0.282 0.472 Cl
0.500 0.000 0.500 Cl
0.548 0.718 0.528 Cl
0.602 0.810 0.154 Cl
0.656 0.448 0.846 Cl
0.661 0.557 0.218 Cl
0.690 0.218 0.170 Cl
0.810 0.980 0.528 Cl
0.839 0.057 0.896 Cl
0.844 0.690 0.792 Cl
0.898 0.052 0.208 Cl
0.952 0.480 0.170 Cl
```



18.
VASP calculation (PBE) on crystalline LiPuCl5 at its relaxed geometry.

Structure (POSCAR):
```
LiPuCl5
1.0
5.136 -4.984 0.000
5.136 4.984 0.000
-4.765 0.000 8.781
Li Pu Cl
2 2 10
direct
0.126 0.874 0.750 Li
0.874 0.126 0.250 Li
0.000 0.500 0.000 Pu
0.500 0.000 0.500 Pu
0.166 0.593 0.837 Cl
0.171 0.174 0.964 Cl
0.174 0.171 0.464 Cl
0.323 0.677 0.250 Cl
0.407 0.834 0.663 Cl
0.593 0.166 0.337 Cl
0.677 0.323 0.750 Cl
0.826 0.829 0.536 Cl
0.829 0.826 0.036 Cl
0.834 0.407 0.163 Cl
```



19.
VASP calculation (PBE) on crystalline Li2Pu2Cl7 at its relaxed geometry.

Structure (POSCAR):
```
Li2Pu2Cl7
1.0
4.318 -5.677 0.000
4.318 5.677 0.000
-1.242 0.000 6.698
Li Pu Cl
2 2 7
direct
0.235 0.235 0.413 Li
0.765 0.765 0.587 Li
0.309 0.691 0.000 Pu
0.691 0.309 0.000 Pu
0.000 0.000 0.500 Cl
0.071 0.430 0.220 Cl
0.409 0.409 0.745 Cl
0.430 0.071 0.220 Cl
0.570 0.929 0.780 Cl
0.591 0.591 0.255 Cl
0.929 0.570 0.780 Cl
```



20.
VASP calculation (PBE) on crystalline Li2Pu3Cl8 at its relaxed geometry.

Structure (POSCAR):
```
Li2Pu3Cl8
1.0
3.992 -7.970 0.000
3.992 7.970 0.000
0.000 0.000 11.285
Li Pu Cl
4 6 16
direct
0.124 0.876 0.882 Li
0.376 0.624 0.382 Li
0.624 0.376 0.618 Li
0.876 0.124 0.118 Li
0.000 0.000 0.500 Pu
0.114 0.386 0.750 Pu
0.386 0.114 0.250 Pu
0.500 0.500 0.000 Pu
0.614 0.886 0.750 Pu
0.886 0.614 0.250 Pu
0.003 0.997 0.247 Cl
0.123 0.365 0.999 Cl
0.135 0.377 0.501 Cl
0.241 0.759 0.749 Cl
0.259 0.741 0.249 Cl
0.365 0.123 0.001 Cl
0.377 0.135 0.499 Cl
0.497 0.503 0.747 Cl
0.503 0.497 0.253 Cl
0.623 0.865 0.501 Cl
0.635 0.877 0.999 Cl
0.741 0.259 0.751 Cl
0.759 0.241 0.251 Cl
0.865 0.623 0.499 Cl
0.877 0.635 0.001 Cl
0.997 0.003 0.753 Cl
```



Number 1: total energy -3.340 eV/atom, E_form (uncorrected) -107.8 kJ per mole of atoms. Number 2: total energy -2.997 eV/atom, E_form (uncorrected) 35.2 kJ per mole of atoms. Number 3: total energy -5.366 eV/atom, E_form (uncorrected) -23.9 kJ per mole of atoms. Number 4: total energy -4.834 eV/atom, E_form (uncorrected) 8.3 kJ per mole of atoms. Number 5: total energy -4.714 eV/atom, E_form (uncorrected) -165.4 kJ per mole of atoms. Number 6: total energy -6.866 eV/atom, E_form (uncorrected) -166.6 kJ per mole of atoms. Number 7: total energy -4.869 eV/atom, E_form (uncorrected) -169.2 kJ per mole of atoms. Number 8: total energy -5.976 eV/atom, E_form (uncorrected) -178.2 kJ per mole of atoms. Number 9: total energy -4.897 eV/atom, E_form (uncorrected) -143.0 kJ per mole of atoms. Number 10: total energy -6.464 eV/atom, E_form (uncorrected) -177.1 kJ per mole of atoms. Number 11: total energy -5.392 eV/atom, E_form (uncorrected) -168.1 kJ per mole of atoms. Number 12: total energy -4.379 eV/atom, E_form (uncorrected) -133.6 kJ per mole of atoms. Number 13: total energy -6.505 eV/atom, E_form (uncorrected) -181.1 kJ per mole of atoms. Number 14: total energy -6.768 eV/atom, E_form (uncorrected) -112.8 kJ per mole of atoms. Number 15: total energy -5.402 eV/atom, E_form (uncorrected) -169.1 kJ per mole of atoms. Number 16: total energy -7.100 eV/atom, E_form (uncorrected) -171.9 kJ per mole of atoms. Number 17: total energy -5.040 eV/atom, E_form (uncorrected) -135.5 kJ per mole of atoms. Number 18: total energy -5.323 eV/atom, E_form (uncorrected) -162.4 kJ per mole of atoms. Number 19: total energy -5.937 eV/atom, E_form (uncorrected) -174.5 kJ per mole of atoms. Number 20: total energy -6.485 eV/atom, E_form (uncorrected) -168.5 kJ per mole of atoms.